Model i:
A plane-wave DFT calculation with GGA-PBE was carried out for DyZr2Hg after structural relaxation.

a = 4.6164 Å, b = 4.5180 Å, c = 4.5180 Å
α = 90.00°, β = 90.00°, γ = 90.00°
Element x y z (fractional)
Hg (0.5000, 0.5000, 0.5000)
Zr (0.0000, 0.0000, 0.5000)
Zr (0.0000, 0.5000, 0.0000)
Dy (0.5000, 0.0000, 0.0000)

Model ii:
A plane-wave DFT calculation with GGA-PBE was carried out for DyZr2Hg after structural relaxation.

a = 3.1667 Å, b = 3.1667 Å, c = 11.6366 Å
α = 82.18°, β = 82.18°, γ = 60.00°
Element x y z (fractional)
Hg (0.5000, 0.5000, 0.5000)
Zr (0.0930, 0.0930, 0.7209)
Zr (0.9070, 0.9070, 0.2791)
Dy (0.0000, 0.0000, 0.0000)

Relative energies, unit eV/atom: model i 0.000; model ii 0.315